No. 1
Computed, not measured: crystalline Cr2ReSe at its relaxed geometry at the GGA-PBE level of DFT.

It has space group R-3m (No. 166, hexagonal axes), with a = 2.8337 Å, b = 2.8337 Å, c = 23.8308 Å, α = 90.00°, β = 90.00° and γ = 120.00°. Symmetry generates all atoms from Cr at (0.0000, 0.0000, 0.2476), Re at (0.0000, 0.0000, 0.0000) and Se at (0.0000, 0.0000, 0.5000).

For the magnetization, the calculation gives 0.025 μB/f.u. Its formation energy from raw total energies is 1.30 eV/f.u. For the energy above the most stable polymorph in this dataset, the calculation gives 0.124 eV per atom. The calculation puts the calculated total energy at -8.471 eV/atom.

---

No. 2
Computed, not measured: crystalline Li2UBr6 at its relaxed geometry at the GGA-PBE level of DFT.

It has space group P2_1/c (No. 14), with a = 6.979 Å, b = 6.593 Å, c = 13.801 Å, α = 90.00°, β = 120.27° and γ = 90.00°. Symmetry generates all atoms from Li at (0.169, 0.001, 0.170), U at (0.500, 0.000, 0.000), Br at (0.162, 0.239, 0.834), Br at (0.167, 0.731, 0.501) and Br at (0.493, 0.239, 0.165).

For the magnetization, the calculation gives 2.000 μB/f.u. Its formation energy from raw total energies is -12.55 eV/f.u. For the energy above the most stable polymorph in this dataset, the calculation gives 0.017 eV per atom. The calculation puts the calculated total energy at -4.189 eV/atom.

---

No. 3
Computed, not measured: crystalline FePt2Se at its relaxed geometry at the GGA-PBE level of DFT.

It has space group F-43m (No. 216), with a = 6.314 Å, b = 6.314 Å, c = 6.314 Å, α = 90.00°, β = 90.00° and γ = 90.00°. Symmetry generates all atoms from Fe at (0.000, 0.000, 0.000), Pt at (0.000, 0.000, 0.500), Pt at (0.250, 0.250, 0.750) and Se at (0.250, 0.250, 0.250).

For the magnetization, the calculation gives 3.035 μB/f.u. Its formation energy from raw total energies is 0.82 eV/f.u. The calculation puts the calculated total energy at -5.802 eV/atom.

---

No. 4
Computed, not measured: crystalline Ac3La2N4 at its relaxed geometry at the GGA-PBE level of DFT.

It has space group C2/m (No. 12), with a = 6.619 Å, b = 3.822 Å, c = 16.213 Å, α = 90.00°, β = 90.06° and γ = 90.00°. Symmetry generates all atoms from Ac at (0.000, 0.000, 0.000), Ac at (0.166, 0.500, 0.623), La at (0.167, 0.500, 0.187), N at (0.001, 0.000, 0.299) and N at (0.166, 0.500, 0.894).

For the magnetization, the calculation gives 0.000 μB/f.u. Its formation energy from raw total energies is -9.60 eV/f.u. The calculation puts the calculated total energy at -7.231 eV/atom.

---

No. 5
Computed, not measured: crystalline PrEr2Rh at its relaxed geometry at the GGA-PBE level of DFT.

It has space group Pnma (No. 62), with a = 7.208 Å, b = 9.463 Å, c = 6.432 Å, α = 90.00°, β = 90.00° and γ = 90.00°. Symmetry generates all atoms from Pr at (0.034, 0.250, 0.136), Er at (0.176, 0.065, 0.668) and Rh at (0.117, 0.750, 0.425).

For the magnetization, the calculation gives 0.000 μB/f.u. For the energy above the most stable polymorph in this dataset, the calculation gives 0.000 eV per atom. The calculation puts the calculated total energy at -5.818 eV/atom. The energy relative to the elements is -0.50 eV/atom.

---

No. 6
Computed, not measured: crystalline Hf2ThPa at its relaxed geometry at the GGA-PBE level of DFT.

It has space group R-3m (No. 166, hexagonal axes), with a = 3.2780 Å, b = 3.2780 Å, c = 33.0043 Å, α = 90.00°, β = 90.00° and γ = 120.00°. Symmetry generates all atoms from Hf at (0.0000, 0.0000, 0.2464), Th at (0.0000, 0.0000, 0.0000) and Pa at (0.0000, 0.0000, 0.5000).

For the magnetization, the calculation gives 0.000 μB/f.u. For the energy above the most stable polymorph in this dataset, the calculation gives 0.016 eV per atom. The calculation puts the calculated total energy at -8.994 eV/atom. The energy relative to the elements is 0.21 eV/atom.

---

> What is the formula in the first record?

Cr2ReSe